No. 1
Here is a geometry-optimized Hf3CoRh2 structure from Alexandria. Energies are from PBE-GGA.

## Properties
Density of states at the Fermi level   5.418 states/eV/cell
ΔE_f   -0.71 eV/atom
Distance to the lowest polymorph of the same formula   0 meV/atom

```
Hf3CoRh2
1.0
3.235 0.000 0.000
0.000 3.235 0.000
0.000 0.000 9.689
Hf Co Rh
3 1 2
Direct
0.000 0.000 0.000 Hf
0.000 0.000 0.659 Hf
0.000 0.000 0.341 Hf
0.500 0.500 0.500 Co
0.500 0.500 0.832 Rh
0.500 0.500 0.168 Rh
```

No. 2
Here is a geometry-optimized ZnCu2Bi2 structure from Alexandria. Energies are from PBE-GGA.

## Properties
Density of states at the Fermi level   3.268 states/eV/cell
ΔE_f   0.32 eV/atom
Distance to the lowest polymorph of the same formula   129 meV/atom

```
ZnCu2Bi2
1.0
8.123 0.000 0.000
0.000 8.123 0.000
0.000 0.000 3.356
Zn Bi Cu
2 4 4
Direct
0.000 0.000 0.000 Zn
0.500 0.500 0.000 Zn
0.316 0.816 0.000 Bi
0.816 0.684 0.000 Bi
0.684 0.184 0.000 Bi
0.184 0.316 0.000 Bi
0.108 0.608 0.500 Cu
0.608 0.892 0.500 Cu
0.892 0.392 0.500 Cu
0.392 0.108 0.500 Cu
```